The following is a DFT calculation (PBE with a Hubbard U) of a geometry-optimized ZnCrO4 structure.

a b c (Å): 10.0833 9.2733 6.8291
angles (deg): 90.00 103.99 90.00
Space group C2/m (No. 12)
Unique sites:
Zn  0.0000  0.1815  0.0000 [4 per cell]
Zn  0.2052  0.0000  0.3647 [4 per cell]
Cr  0.0000  0.2554  0.5000 [4 per cell]
Cr  0.2236  0.5000  0.0882 [4 per cell]
O  0.0446  0.1553  0.3156 [8 per cell]
O  0.1330  0.3535  0.6055 [8 per cell]
O  0.1351  0.3523  0.0207 [8 per cell]
O  0.1432  0.0000  0.0386 [4 per cell]
O  0.2146  0.0000  0.6662 [4 per cell]

Results
Volume in Å³ per cell: 619.63
N(E_F) in states/eV per cell: 0.0
Distance to the lowest polymorph of the same formula in meV/atom: 16